Density functional theory data (PBE) for a relaxed structure of LaInSn2I8.

Lattice parameters (Å, degrees): 7.407 9.612 7.860 90.00 90.76 90.00
Positions (direct):
La: 0.000 0.000 0.000
In: 0.000 0.500 0.000
Sn: 0.500 0.256 0.500
Sn: 0.500 0.744 0.500
I: 0.249 0.000 0.668
I: 0.251 0.234 0.162
I: 0.251 0.766 0.162
I: 0.270 0.500 0.644
I: 0.730 0.500 0.356
I: 0.749 0.234 0.838
I: 0.749 0.766 0.838
I: 0.751 0.000 0.332

Properties
**Formation energy from raw total energies**: -9.609 eV/f.u.